The following is a PBE calculation of Y3Er3TmTe8 after structural relaxation, from Alexandria.

Unit cell a=8.6482 b=8.6489 c=8.6536 alpha=119.98 beta=90.00 gamma=120.00
With the nearest neighbours (Å) after each atom.
Fractional positions:
Te (0.2561, 0.0025, 0.2489)  2 Er 3.04, 2 Y 3.07, 1 Tm 3.10
Te (0.2513, 0.5025, 0.2537)  3 Er 3.04, 3 Y 3.07
Te (0.7464, 0.4928, 0.2489)  2 Er 3.04, 2 Y 3.07, 1 Tm 3.10
Te (0.7464, 0.0025, 0.2490)  2 Er 3.04, 2 Y 3.07, 1 Tm 3.10
Te (0.7487, 0.4975, 0.7463)  3 Er 3.04, 3 Y 3.07
Te (0.2536, 0.5072, 0.7511)  2 Er 3.04, 2 Y 3.07, 1 Tm 3.10
Te (0.2536, 0.9975, 0.7510)  2 Er 3.04, 2 Y 3.07, 1 Tm 3.10
Te (0.7439, 0.9975, 0.7511)  2 Er 3.04, 2 Y 3.07, 1 Tm 3.10
Tm (0.0000, 0.0000, 0.5000)  6 Te 3.10
Er (0.5000, 0.5000, 0.5000)  6 Te 3.04
Er (0.0000, 0.5000, 0.5000)  6 Te 3.04
Er (0.5000, 0.0000, 0.5000)  6 Te 3.04
Y (0.0000, 0.5000, 0.0000)  6 Te 3.07
Y (0.0000, 0.0000, 0.0000)  6 Te 3.07
Y (0.5000, 0.5000, 0.0000)  6 Te 3.07

Computed properties:
**D(E_F)**: 6.76 states/eV/f.u.
**Space-group type**: R-3m
**E_form (uncorrected)**: -1.340 eV/atom
**DFT total energy**: -0.406 Ry/atom

---

The following is a PBE calculation of Ti2H3O6 after structural relaxation, from Alexandria.

Unit cell a=5.3859 b=5.4040 c=9.8034 alpha=70.87 beta=74.06 gamma=60.11
With the nearest neighbours (Å) after each atom.
Fractional positions:
Ti (0.6850, 0.1529, 0.0080)  6 O 1.88-2.08
Ti (0.3150, 0.8471, 0.9920)  6 O 1.88-2.08
Ti (0.1541, 0.6529, 0.5080)  6 O 1.88-2.08
Ti (0.8459, 0.3471, 0.4920)  6 O 1.88-2.08
O (0.4482, 0.1362, 0.8779)  1 H 1.20
O (0.5378, 0.6362, 0.3779)  1 H 1.20
O (0.0543, 0.9541, 0.6179)  1 H 1.02
O (0.3737, 0.4540, 0.1179)  1 H 1.02
O (0.5518, 0.8638, 0.1221)  1 H 1.20
O (0.6263, 0.5460, 0.8821)  1 H 1.02
O (0.9724, 0.0416, 0.1194)  1 H 1.53
O (0.1335, 0.4584, 0.3806)  1 H 1.53
O (0.9457, 0.0459, 0.3821)  1 H 1.02
O (0.4622, 0.3638, 0.6221)  1 H 1.20
O (0.8665, 0.5416, 0.6194)  1 H 1.53
O (0.0276, 0.9584, 0.8806)  1 H 1.53
H (0.0569, 0.9349, 0.7246)  1 O 1.02
H (0.9431, 0.0651, 0.2754)  1 O 1.02
H (0.7164, 0.5651, 0.7754)  1 O 1.02
H (0.4555, 0.2500, 0.7500)  2 O 1.20
H (0.2836, 0.4349, 0.2246)  1 O 1.02
H (0.5445, 0.7500, 0.2500)  2 O 1.20

Computed properties:
**D(E_F)**: 7.73 states/eV/f.u.
**Space-group type**: C2/c
**DFT total energy**: -0.513 Ry/atom

---

The following is a PBE calculation of NaDyCd14 after structural relaxation, from Alexandria.

Unit cell a=6.5298 b=6.5298 c=8.7126 alpha=90.00 beta=90.00 gamma=90.00
With the nearest neighbours (Å) after each atom.
Fractional positions:
Cd (0.6234, 0.6234, 0.7568)  10 Cd 3.12-3.29, 1 Na 3.20, 1 Dy 3.23
Cd (0.1266, 0.6234, 0.2432)  10 Cd 3.12-3.29, 1 Na 3.20, 1 Dy 3.23
Cd (0.8750, 0.3750, 0.5000)  8 Cd 3.21-3.22, 2 Dy 3.26, 2 Na 3.26
Cd (0.3750, 0.8750, 0.5000)  8 Cd 3.21-3.22, 2 Dy 3.26, 2 Na 3.26
Cd (0.6234, 0.1266, 0.2432)  10 Cd 3.12-3.29, 1 Na 3.20, 1 Dy 3.23
Cd (0.6234, 0.1266, 0.7568)  10 Cd 3.12-3.29, 1 Na 3.20, 1 Dy 3.23
Cd (0.1266, 0.6234, 0.7568)  10 Cd 3.12-3.29, 1 Na 3.20, 1 Dy 3.23
Cd (0.8750, 0.8750, 0.0000)  12 Cd 3.14-3.26
Cd (0.6234, 0.6234, 0.2432)  10 Cd 3.12-3.29, 1 Na 3.20, 1 Dy 3.23
Cd (0.8750, 0.3750, 0.0000)  12 Cd 3.13-3.26
Cd (0.1266, 0.1266, 0.2432)  10 Cd 3.12-3.29, 1 Na 3.20, 1 Dy 3.23
Cd (0.3750, 0.8750, 0.0000)  12 Cd 3.13-3.26
Cd (0.3750, 0.3750, 0.0000)  12 Cd 3.12-3.26
Cd (0.1266, 0.1266, 0.7568)  10 Cd 3.12-3.29, 1 Na 3.20, 1 Dy 3.23
Na (0.3750, 0.3750, 0.5000)  12 Cd 3.20-3.26
Dy (0.8750, 0.8750, 0.5000)  12 Cd 3.23-3.26

Computed properties:
**D(E_F)**: 7.95 states/eV/f.u.
**Space-group type**: P4/mmm
**DFT total energy**: -0.092 Ry/atom

---

The following is a PBE calculation of Y3Tl3In after structural relaxation, from Alexandria.

Unit cell a=5.4130 b=9.0955 c=9.0955 alpha=120.00 beta=90.00 gamma=90.00
With the nearest neighbours (Å) after each atom.
Fractional positions:
Y (0.7500, 0.8998, 0.3524)  4 Tl 3.20-3.27, 3 In 3.39-3.53, 2 Y 3.53
Y (0.7500, 0.6476, 0.5474)  4 Tl 3.20-3.27, 3 In 3.39-3.53, 2 Y 3.53
Y (0.2500, 0.3524, 0.4526)  4 Tl 3.20-3.27, 3 In 3.39-3.53, 2 Y 3.53
Y (0.2500, 0.5474, 0.8998)  4 Tl 3.20-3.27, 3 In 3.39-3.53, 2 Y 3.53
Y (0.7500, 0.4526, 0.1002)  4 Tl 3.20-3.27, 3 In 3.39-3.53, 2 Y 3.53
Y (0.2500, 0.1002, 0.6476)  4 Tl 3.20-3.27, 3 In 3.39-3.53, 2 Y 3.53
Tl (0.7500, 0.7548, 0.9482)  4 Y 3.20-3.27, 1 In 3.38, 6 Tl 3.39-3.53
Tl (0.7500, 0.0518, 0.8066)  4 Y 3.20-3.27, 1 In 3.38, 6 Tl 3.39-3.53
Tl (0.7500, 0.1934, 0.2452)  4 Y 3.20-3.27, 1 In 3.38, 6 Tl 3.39-3.53
Tl (0.2500, 0.9482, 0.1934)  4 Y 3.20-3.27, 1 In 3.38, 6 Tl 3.39-3.53
Tl (0.2500, 0.2452, 0.0518)  4 Y 3.20-3.27, 1 In 3.38, 6 Tl 3.39-3.53
Tl (0.2500, 0.8066, 0.7548)  4 Y 3.20-3.27, 1 In 3.38, 6 Tl 3.39-3.53
In (0.2500, 0.6667, 0.3333)  3 Tl 3.38, 9 Y 3.39-3.53
In (0.7500, 0.3333, 0.6667)  3 Tl 3.38, 9 Y 3.39-3.53

Computed properties:
**D(E_F)**: 5.02 states/eV/f.u.
**Space-group type**: P6_3/m
**DFT total energy**: -0.328 Ry/atom

---

The following is a PBE calculation of Sc3AgN after structural relaxation, from Alexandria.

Unit cell a=3.1045 b=7.7688 c=7.7688 alpha=132.85 beta=90.00 gamma=90.00
With the nearest neighbours (Å) after each atom.
Fractional positions:
Sc (0.0000, 0.2634, 0.7366)  1 N 2.23
Sc (0.5000, 0.1917, 0.3374)  2 N 2.14
Sc (0.5000, 0.6626, 0.8083)  2 N 2.14
Ag (0.5000, 0.0904, 0.9096)  4 Sc 2.85-2.91, 2 Ag 3.10
N (0.0000, 0.4200, 0.5800)  5 Sc 2.14-2.23

Computed properties:
**D(E_F)**: 4.69 states/eV/f.u.
**Space-group type**: Amm2
**E_form (uncorrected)**: -0.193 eV/atom
**DFT total energy**: -0.458 Ry/atom

---

The following is a PBE calculation of Sr2Ag4Sb3Pb after structural relaxation, from Alexandria.

Unit cell a=4.6861 b=4.6861 c=12.3039 alpha=90.00 beta=90.00 gamma=90.00
With the nearest neighbours (Å) after each atom.
Fractional positions:
Pb (0.5000, 0.5000, 0.5000)  4 Ag 2.95
Ag (0.0000, 0.5000, 0.3538)  3 Sb 2.71-2.95, 2 Pb 2.95
Ag (0.0000, 0.0000, 0.0000)  4 Sb 2.86
Ag (0.5000, 0.0000, 0.6462)  3 Sb 2.71-2.95, 2 Pb 2.95
Ag (0.5000, 0.5000, 0.0000)  4 Sb 2.86
Sb (0.0000, 0.0000, 0.5000)  4 Ag 2.95
Sb (0.5000, 0.0000, 0.8663)  5 Ag 2.71-2.86
Sb (0.0000, 0.5000, 0.1337)  5 Ag 2.71-2.86
Sr (0.0000, 0.5000, 0.7669)  4 Sb 3.53, 8 Ag 3.63-3.70
Sr (0.5000, 0.0000, 0.2331)  4 Sb 3.53, 8 Ag 3.63-3.70

Computed properties:
**D(E_F)**: 1.75 states/eV/f.u.
**Space-group type**: P-4m2
**E_form (uncorrected)**: -0.426 eV/atom
**DFT total energy**: -0.258 Ry/atom

---

The following is a PBE calculation of Ca2TlSb after structural relaxation, from Alexandria.

Unit cell a=3.8750 b=4.1565 c=7.3111 alpha=90.00 beta=90.00 gamma=90.00
With the nearest neighbours (Å) after each atom.
Fractional positions:
Tl (0.5000, 0.5000, 0.7500)  8 Ca 3.44, 2 Sb 3.66
Ca (0.0000, 0.0000, 0.4848)  4 Sb 3.32, 1 Ca 3.43, 4 Tl 3.44
Ca (0.0000, 0.0000, 0.0152)  4 Sb 3.32, 1 Ca 3.43, 4 Tl 3.44
Sb (0.5000, 0.5000, 0.2500)  8 Ca 3.32, 2 Tl 3.66

Computed properties:
**D(E_F)**: 1.16 states/eV/f.u.
**Space-group type**: Pmmm
**E_form (uncorrected)**: -0.662 eV/atom
**DFT total energy**: -0.241 Ry/atom

---

The following is a PBE calculation of Cs2Ti4O9 after structural relaxation, from Alexandria.

Unit cell a=10.6271 b=10.6271 c=12.1934 alpha=71.86 beta=71.86 gamma=20.91
With the nearest neighbours (Å) after each atom.
Fractional positions:
O (0.8099, 0.8099, 0.5235)  1 Ti 1.77
O (0.1728, 0.1728, 0.2596)  1 Ti 1.80
O (0.0556, 0.0556, 0.6330)  1 Ti 1.74
O (0.3395, 0.3395, 0.3518)  3 Ti 2.00-2.01
O (0.6971, 0.6971, 0.8622)  3 Ti 2.00-2.15
O (0.1901, 0.1901, 0.4765)  1 Ti 1.77
O (0.9444, 0.9444, 0.3670)  1 Ti 1.74
O (0.8644, 0.8644, 0.9563)  2 Ti 1.89-1.90
O (0.8990, 0.8990, 0.1736)  1 Ti 1.79
O (0.2680, 0.2680, 0.9210)  3 Ti 1.99-2.19
O (0.7320, 0.7320, 0.0790)  3 Ti 1.99-2.19
O (0.3029, 0.3029, 0.1378)  3 Ti 2.00-2.15
O (0.8272, 0.8272, 0.7404)  1 Ti 1.80
O (0.2341, 0.2341, 0.7004)  3 Ti 1.99-2.17
O (0.7659, 0.7659, 0.2996)  3 Ti 1.99-2.17
O (0.1010, 0.1010, 0.8264)  1 Ti 1.79
O (0.1356, 0.1356, 0.0437)  2 Ti 1.89-1.90
O (0.6605, 0.6605, 0.6482)  3 Ti 2.00-2.01
Ti (0.2471, 0.2471, 0.3337)  1 O 1.77
Ti (0.7918, 0.7918, 0.8958)  4 O 1.80-1.99
Ti (0.1358, 0.1358, 0.6466)  1 O 1.74
Ti (0.8642, 0.8642, 0.3534)  1 O 1.74
Ti (0.8287, 0.8287, 0.1200)  4 O 1.79-2.00
Ti (0.1713, 0.1713, 0.8800)  4 O 1.79-2.00
Ti (0.2082, 0.2082, 0.1042)  4 O 1.80-1.99
Ti (0.7529, 0.7529, 0.6663)  1 O 1.77
Cs (0.5141, 0.5141, 0.1603)  6 O 3.05-3.15
Cs (0.5889, 0.5889, 0.4229)  6 O 2.92-3.10
Cs (0.4111, 0.4111, 0.5771)  6 O 2.92-3.10
Cs (0.4859, 0.4859, 0.8397)  6 O 3.05-3.15

Computed properties:
**D(E_F)**: 0.00 states/eV/f.u.
**Space-group type**: C2/m
**E_form (uncorrected)**: -2.820 eV/atom
**DFT total energy**: -0.589 Ry/atom

---

Question: Which formula does entry 6 have?
Answer: Sr2Ag4Sb3Pb